[1]
First-principles (GGA-PBE) data for a relaxed HfMn2PI crystal, as listed in Alexandria.

Its symmetry is P4/mmm, No. 123. The calculation puts the total energy at -5.616 eV per atom. The density of states at the Fermi level is 6.316 states/eV/f.u.

Geometry as POSCAR:
```
HfMn2PI
1.0
-1.176 -4.441 0.951
2.514 -1.635 -4.529
3.989 -0.540 2.409
Hf Mn P I
1 2 1 1
direct
0.000 0.500 0.000 Hf
0.500 0.000 0.000 Mn
0.000 0.000 0.500 Mn
0.500 0.500 0.500 P
0.000 0.000 0.000 I
```

***

[2]
First-principles (GGA-PBE) data for a relaxed Tb3NdSm7 crystal, as listed in Alexandria.

Its symmetry is P2/m, No. 10. For the energy above the most stable polymorph in this dataset, the calculation gives 0.0 meV/atom. The calculation puts the calculated formation energy at 0.124 eV per atom. The density of states at the Fermi level is 14.793 states/eV/f.u.

Geometry as POSCAR:
```
Tb3NdSm7
1.0
4.792 -0.098 -2.991
-1.078 9.757 -2.047
-1.090 -0.727 8.946
Sm Tb Nd
7 3 1
direct
0.080 0.169 0.080 Sm
0.146 0.290 0.646 Sm
0.854 0.710 0.354 Sm
0.500 0.000 0.500 Sm
0.324 0.641 0.824 Sm
0.676 0.359 0.176 Sm
0.920 0.831 0.920 Sm
0.278 0.998 0.778 Tb
0.722 0.002 0.222 Tb
0.000 0.500 0.000 Tb
0.500 0.500 0.500 Nd
```

***

[3]
First-principles (GGA-PBE) data for a relaxed ZrSbP crystal, as listed in Alexandria.

Its symmetry is P3m1, No. 156. For the energy above the most stable polymorph in this dataset, the calculation gives 365.2 meV/atom. The density of states at the Fermi level is 2.484 states/eV/f.u.

Geometry as POSCAR:
```
ZrSbP
1.0
1.666 0.569 3.069
-2.253 -2.710 -0.314
4.623 -3.630 -1.835
Sb P Zr
1 1 1
direct
0.667 0.333 0.331 Sb
0.000 0.000 0.962 P
0.333 0.667 0.707 Zr
```

***

[4]
First-principles (GGA-PBE) data for a relaxed TiBiSe2 crystal, as listed in Alexandria.

Its symmetry is P-1, No. 2. The calculation puts the total energy at -5.482 eV per atom. The density of states at the Fermi level is 2.498 states/eV/f.u.

Geometry as POSCAR:
```
TiBiSe2
1.0
-2.438 4.657 -9.230
-2.011 -2.901 -0.259
-5.070 3.550 -0.378
Se Ti Bi
4 2 2
direct
0.950 0.908 0.051 Se
0.291 0.577 0.600 Se
0.291 0.072 0.100 Se
0.950 0.403 0.551 Se
0.120 0.990 0.576 Ti
0.120 0.490 0.076 Ti
0.620 0.175 0.826 Bi
0.620 0.806 0.326 Bi
```

***

[5]
First-principles (GGA-PBE) data for a relaxed Er4SnSb2Te crystal, as listed in Alexandria.

Its symmetry is P2/m, No. 10. The calculation puts the total energy at -5.251 eV per atom. The density of states at the Fermi level is 1.763 states/eV/f.u.

Geometry as POSCAR:
```
Er4SnSb2Te
1.0
4.331 0.000 0.000
0.000 7.556 0.150
0.000 -2.624 7.079
Er Sb Te Sn
4 2 1 1
direct
0.000 0.746 0.251 Er
0.500 0.741 0.745 Er
0.500 0.259 0.255 Er
0.000 0.254 0.749 Er
0.000 0.500 0.500 Sb
0.500 0.000 0.500 Sb
0.000 0.000 0.000 Te
0.500 0.500 0.000 Sn
```

***

[6]
First-principles (GGA-PBE) data for a relaxed KBaIn3 crystal, as listed in Alexandria.

Its symmetry is Pm-3m, No. 221. For the energy above the most stable polymorph in this dataset, the calculation gives 0.0 meV/atom. The calculation puts the calculated formation energy at 0.367 eV per atom. The density of states at the Fermi level is 4.656 states/eV/f.u.

Geometry as POSCAR:
```
KBaIn3
1.0
-5.461 2.028 -1.420
0.407 -2.657 -5.360
-2.442 -4.978 2.282
In K Ba
3 1 1
direct
0.000 0.500 0.000 In
0.500 0.000 0.000 In
0.000 0.000 0.500 In
0.000 0.000 0.000 K
0.500 0.500 0.500 Ba
```